1.
Density functional theory data (PBE) for a relaxed structure of Pm4DyEr.

Unit cell a=5.686 b=12.146 c=6.716 alpha=73.08 beta=115.04 gamma=90.00
Positions (direct):
Pm1 0.032 0.785 0.569
Pm2 0.537 0.285 0.569
Pm3 0.799 0.048 0.098
Pm4 0.299 0.548 0.098
Pm5 0.201 0.952 0.902
Pm6 0.701 0.452 0.902
Pm7 0.968 0.215 0.431
Pm8 0.463 0.715 0.431
Dy1 0.251 0.250 0.000
Dy2 0.749 0.750 0.000
Er1 0.000 0.500 0.500
Er2 0.500 0.000 0.500

Output
Formation energy   59 meV/atom
Magnetic moment   0.00 Bohr magnetons per cell
Final energy   -0.3407 Ry/atom
ρ   7.593 g/cm³
SG   C2/c
N(E_F)   1.543 states/eV/atom

2.
Density functional theory data (PBE) for a relaxed structure of Pm7DyEr12.

Unit cell a=9.717 b=9.717 c=9.717 alpha=109.47 beta=109.47 gamma=109.47
Positions (direct):
Pm1 0.500 0.500 0.000
Pm2 0.000 0.500 0.500
Pm3 0.500 0.000 0.500
Pm4 0.500 0.500 0.500
Pm5 0.000 0.000 0.500
Pm6 0.500 0.000 0.000
Pm7 0.000 0.500 0.000
Dy1 0.000 0.000 0.000
Er1 0.506 0.753 0.753
Er2 0.000 0.753 0.247
Er3 0.494 0.247 0.247
Er4 0.000 0.247 0.753
Er5 0.753 0.000 0.247
Er6 0.753 0.506 0.753
Er7 0.247 0.000 0.753
Er8 0.247 0.494 0.247
Er9 0.753 0.753 0.506
Er10 0.247 0.247 0.494
Er11 0.753 0.247 0.000
Er12 0.247 0.753 0.000

Output
Formation energy   665 meV/atom
Magnetic moment   0.00 Bohr magnetons per cell
Final energy   -0.2915 Ry/atom
ρ   7.489 g/cm³
SG   Im-3m
N(E_F)   1.368 states/eV/atom

3.
Density functional theory data (PBE) for a relaxed structure of PmDy4Er3.

Unit cell a=6.264 b=7.250 c=11.231 alpha=90.00 beta=90.00 gamma=90.00
Positions (direct):
Pm1 0.148 0.375 0.000
Pm2 0.648 0.625 0.500
Dy1 0.147 0.875 0.000
Dy2 0.649 0.125 0.000
Dy3 0.981 0.125 0.252
Dy4 0.481 0.875 0.248
Dy5 0.149 0.875 0.500
Dy6 0.647 0.125 0.500
Dy7 0.481 0.875 0.752
Dy8 0.981 0.125 0.748
Er1 0.648 0.625 0.000
Er2 0.981 0.625 0.250
Er3 0.481 0.375 0.250
Er4 0.148 0.375 0.500
Er5 0.481 0.375 0.750
Er6 0.981 0.625 0.750

Output
Formation energy   7 meV/atom
Magnetic moment   0.00 Bohr magnetons per cell
Final energy   -0.3380 Ry/atom
ρ   8.444 g/cm³
SG   Pmn2_1
N(E_F)   1.612 states/eV/atom

4.
Density functional theory data (PBE) for a relaxed structure of PmDyEr6.

Unit cell a=6.675 b=6.500 c=6.970 alpha=75.06 beta=61.04 gamma=89.89
Positions (direct):
Pm1 0.000 0.000 0.000
Dy1 0.000 0.500 0.000
Er1 0.093 0.768 0.480
Er2 0.569 0.728 0.526
Er3 0.431 0.272 0.474
Er4 0.907 0.232 0.520
Er5 0.542 0.748 0.001
Er6 0.458 0.252 0.999

Output
Formation energy   212 meV/atom
Magnetic moment   0.00 Bohr magnetons per cell
Final energy   -0.3219 Ry/atom
ρ   8.607 g/cm³
SG   P-1
N(E_F)   1.674 states/eV/atom

5.
Density functional theory data (PBE) for a relaxed structure of Pm2Dy8Er.

Unit cell a=6.661 b=10.167 c=10.167 alpha=38.19 beta=59.53 gamma=59.53
Positions (direct):
Pm1 0.600 0.801 0.801
Pm2 0.400 0.199 0.199
Dy1 0.229 0.350 0.825
Dy2 0.771 0.175 0.650
Dy3 0.181 0.756 0.756
Dy4 0.819 0.244 0.244
Dy5 0.229 0.825 0.350
Dy6 0.771 0.650 0.175
Dy7 0.730 0.588 0.588
Dy8 0.270 0.412 0.412
Er1 0.000 0.000 0.000

Output
Formation energy   162 meV/atom
Magnetic moment   0.00 Bohr magnetons per cell
Final energy   -0.3281 Ry/atom
ρ   8.124 g/cm³
SG   C2/m
N(E_F)   1.475 states/eV/atom

6.
Density functional theory data (PBE) for a relaxed structure of PmDy7Er12.

Unit cell a=8.621 b=8.621 c=8.621 alpha=95.20 beta=95.20 gamma=95.20
Positions (direct):
Pm1 0.000 0.000 0.000
Dy1 0.918 0.648 0.983
Dy2 0.352 0.017 0.082
Dy3 0.017 0.082 0.352
Dy4 0.500 0.500 0.500
Dy5 0.983 0.918 0.648
Dy6 0.648 0.983 0.918
Dy7 0.082 0.352 0.017
Er1 0.811 0.251 0.681
Er2 0.749 0.319 0.189
Er3 0.478 0.147 0.415
Er4 0.853 0.585 0.522
Er5 0.319 0.189 0.749
Er6 0.585 0.522 0.853
Er7 0.415 0.478 0.147
Er8 0.681 0.811 0.251
Er9 0.147 0.415 0.478
Er10 0.522 0.853 0.585
Er11 0.251 0.681 0.811
Er12 0.189 0.749 0.319

Output
Formation energy   307 meV/atom
Magnetic moment   0.00 Bohr magnetons per cell
Final energy   -0.3145 Ry/atom
ρ   8.640 g/cm³
SG   R-3
N(E_F)   0.868 states/eV/atom

7.
Density functional theory data (PBE) for a relaxed structure of PmDyEr3.

Unit cell a=3.590 b=8.545 c=11.492 alpha=90.00 beta=90.00 gamma=102.10
Positions (direct):
Pm1 0.986 0.474 0.250
Pm2 0.014 0.526 0.750
Dy1 0.313 0.127 0.250
Dy2 0.687 0.873 0.750
Er1 0.842 0.184 0.000
Er2 0.158 0.816 0.000
Er3 0.842 0.184 0.500
Er4 0.158 0.816 0.500
Er5 0.654 0.808 0.250
Er6 0.346 0.192 0.750

Output
Formation energy   304 meV/atom
Magnetic moment   0.00 Bohr magnetons per cell
Final energy   -0.3164 Ry/atom
ρ   7.797 g/cm³
SG   P2_1/m
N(E_F)   1.562 states/eV/atom

8.
Density functional theory data (PBE) for a relaxed structure of Pm4DyEr6.

Unit cell a=3.543 b=10.971 c=10.971 alpha=120.00 beta=90.00 gamma=90.00
Positions (direct):
Pm1 0.500 0.832 0.664
Pm2 0.500 0.336 0.168
Pm3 0.500 0.832 0.168
Pm4 0.000 0.333 0.667
Dy1 0.000 0.000 0.000
Er1 0.000 0.507 0.015
Er2 0.500 0.641 0.821
Er3 0.000 0.507 0.493
Er4 0.000 0.985 0.493
Er5 0.500 0.179 0.821
Er6 0.500 0.179 0.359

Output
Formation energy   170 meV/atom
Magnetic moment   0.00 Bohr magnetons per cell
Final energy   -0.3282 Ry/atom
ρ   7.851 g/cm³
SG   P-6m2
N(E_F)   1.552 states/eV/atom

9.
Density functional theory data (PBE) for a relaxed structure of Pm3Dy4Er5.

Unit cell a=5.891 b=8.488 c=9.630 alpha=105.81 beta=72.19 gamma=69.70
Site moments in Bohr magnetons follow the coordinates.
Positions (direct):
Pm1 0.523 0.686 0.268  0.00
Pm2 0.000 0.500 0.500  0.07
Pm3 0.477 0.314 0.732  0.00
Dy1 0.860 0.222 0.058  0.00
Dy2 0.169 0.041 0.622  0.00
Dy3 0.831 0.959 0.378  0.00
Dy4 0.140 0.778 0.942  0.00
Er1 0.624 0.949 0.803  0.01
Er2 0.500 0.500 0.500  0.09
Er3 0.215 0.457 0.112  0.01
Er4 0.785 0.543 0.888  0.01
Er5 0.376 0.051 0.197  0.01

Output
Formation energy   238 meV/atom
Magnetic moment   0.21 Bohr magnetons per cell
Final energy   -0.3223 Ry/atom
ρ   8.193 g/cm³
SG   C2/m
N(E_F)   1.580 states/eV/atom

10.
Density functional theory data (PBE) for a relaxed structure of PmDy6Er3.

Unit cell a=9.761 b=9.761 c=6.861 alpha=44.65 beta=44.65 gamma=60.00
Positions (direct):
Pm1 0.898 0.898 0.306
Dy1 0.906 0.568 0.290
Dy2 0.235 0.906 0.290
Dy3 0.568 0.235 0.290
Dy4 0.070 0.407 0.788
Dy5 0.734 0.070 0.788
Dy6 0.407 0.734 0.788
Er1 0.396 0.396 0.813
Er2 0.640 0.640 0.080
Er3 0.145 0.145 0.564

Output
Formation energy   272 meV/atom
Magnetic moment   0.01 Bohr magnetons per cell
Final energy   -0.3185 Ry/atom
ρ   8.341 g/cm³
SG   R3
N(E_F)   2.072 states/eV/atom

11.
Density functional theory data (PBE) for a relaxed structure of Pm4Dy3Er8.

Unit cell a=6.922 b=6.922 c=12.408 alpha=73.80 beta=73.80 gamma=60.00
Positions (direct):
Pm1 0.000 0.000 0.000
Pm2 0.337 0.337 0.990
Pm3 0.500 0.500 0.500
Pm4 0.663 0.663 0.010
Dy1 0.500 0.000 0.500
Dy2 0.000 0.000 0.500
Dy3 0.000 0.500 0.500
Er1 0.245 0.245 0.266
Er2 0.247 0.750 0.253
Er3 0.750 0.750 0.253
Er4 0.750 0.247 0.253
Er5 0.755 0.755 0.734
Er6 0.753 0.250 0.747
Er7 0.250 0.250 0.747
Er8 0.250 0.753 0.747

Output
Formation energy   125 meV/atom
Magnetic moment   0.00 Bohr magnetons per cell
Final energy   -0.3304 Ry/atom
ρ   8.194 g/cm³
SG   R-3m
N(E_F)   1.460 states/eV/atom

12.
Density functional theory data (PBE) for a relaxed structure of PmDyEr6.

Unit cell a=4.991 b=4.991 c=9.973 alpha=90.00 beta=90.00 gamma=90.00
Positions (direct):
Pm1 0.000 0.000 0.500
Dy1 0.000 0.000 0.000
Er1 0.500 0.500 0.000
Er2 0.500 0.500 0.500
Er3 0.500 0.000 0.248
Er4 0.500 0.000 0.752
Er5 0.000 0.500 0.248
Er6 0.000 0.500 0.752

Output
Formation energy   24 meV/atom
Magnetic moment   0.00 Bohr magnetons per cell
Final energy   -0.3357 Ry/atom
ρ   8.764 g/cm³
SG   P4/mmm
N(E_F)   1.397 states/eV/atom

- Which value of final energy does entry 12 give?
  -0.3357 Ry/atom

- What is the formation energy in the eleventh record?
  125 meV/atom

- Number 1 is which compound?
  Pm4DyEr

What did the first record say?
Density functional theory data (PBE) for a relaxed structure of Pm4DyEr.

Unit cell a=5.686 b=12.146 c=6.716 alpha=73.08 beta=115.04 gamma=90.00
Positions (direct):
Pm1 0.032 0.785 0.569
Pm2 0.537 0.285 0.569
Pm3 0.799 0.048 0.098
Pm4 0.299 0.548 0.098
Pm5 0.201 0.952 0.902
Pm6 0.701 0.452 0.902
Pm7 0.968 0.215 0.431
Pm8 0.463 0.715 0.431
Dy1 0.251 0.250 0.000
Dy2 0.749 0.750 0.000
Er1 0.000 0.500 0.500
Er2 0.500 0.000 0.500

Output
Formation energy   59 meV/atom
Magnetic moment   0.00 Bohr magnetons per cell
Final energy   -0.3407 Ry/atom
ρ   7.593 g/cm³
SG   C2/c
N(E_F)   1.543 states/eV/atom